A plane-wave DFT calculation with PBE-GGA was carried out for crystalline SmTm3Hg at its relaxed geometry.

Cell: 6.6365 6.6365 8.6842 Å, 87.47 119.96 113.84°
With the nearest neighbours (Å) after each atom.
Fractional positions:
Hg 0.7616 0.7387 0.5003  6 Tm 3.18-3.22, 2 Sm 3.36-3.41
Tm 0.2303 0.4092 0.1391  2 Hg 3.22, 5 Tm 3.43-3.46, 3 Sm 3.44-3.49
Tm 0.2701 0.0912 0.8609  2 Hg 3.22, 5 Tm 3.43-3.46, 3 Sm 3.44-3.49
Sm 0.6748 0.0606 0.7353  2 Hg 3.36-3.41, 8 Tm 3.44-3.62, 1 Sm 3.47
Hg 0.2384 0.2613 0.4997  6 Tm 3.18-3.22, 2 Sm 3.36-3.41
Tm 0.8185 0.4379 0.2563  2 Hg 3.18-3.22, 6 Tm 3.43
Tm 0.7697 0.5908 0.8609  2 Hg 3.22, 5 Tm 3.43-3.46, 3 Sm 3.44-3.49
Tm 0.7299 0.9088 0.1391  2 Hg 3.22, 5 Tm 3.43-3.46, 3 Sm 3.44-3.49
Tm 0.1815 0.5621 0.7437  2 Hg 3.18-3.22, 6 Tm 3.43
Sm 0.3252 0.9394 0.2647  2 Hg 3.36-3.41, 8 Tm 3.44-3.62, 1 Sm 3.47

Calculated values
The calculation puts the energy at -3.798 eV/atom. The theoretical density is 9.591 g/cm³. The formation energy comes out at -0.55 eV per formula unit. The calculation puts the total magnetization at 0.000 μB per atom.